Entry 1:
First-principles (GGA-PBE) data for crystalline Cu3GeOs at its relaxed geometry, as listed in the Alexandria database.

Values from the calculation:
For the energy relative to the lowest polymorph listed for this composition, the calculation gives 0.0 meV/atom. As for the total magnetic moment: 1.5 μB per formula unit. The value obtained for the formation energy is 1.31 eV per atom.

Cell lengths 4.344, 4.344, 4.344 Å; angles 90.00, 90.00, 90.00 degrees
Element x y z (fractional)
1 Ge 0.000 0.000 0.000
2 Os 0.500 0.500 0.500
3 Cu 0.000 0.500 0.000
4 Cu 0.000 0.000 0.500
5 Cu 0.500 0.000 0.000


Entry 2:
First-principles (GGA-PBE) data for crystalline CuGe2Os at its relaxed geometry, as listed in the Alexandria database.

Values from the calculation:
For the energy relative to the lowest polymorph listed for this composition, the calculation gives 131.7 meV/atom. As for the total magnetic moment: 0.0 μB per formula unit. The value obtained for the formation energy is 0.32 eV per atom.

Cell lengths 4.360, 4.360, 4.360 Å; angles 60.00, 60.00, 60.00 degrees
Element x y z (fractional)
1 Ge 0.250 0.250 0.250
2 Ge 0.750 0.750 0.750
3 Os 0.500 0.500 0.500
4 Cu 0.000 0.000 0.000


Entry 3:
First-principles (GGA-PBE) data for crystalline Cu2Ge2Os at its relaxed geometry, as listed in the Alexandria database.

Values from the calculation:
As for the total magnetic moment: 0.0 μB per formula unit. The value obtained for the formation energy is 0.25 eV per atom.

Cell lengths 6.582, 6.582, 3.356 Å; angles 90.00, 90.00, 90.00 degrees
Element x y z (fractional)
1 Ge 0.345 0.845 0.000
2 Ge 0.845 0.655 0.000
3 Ge 0.655 0.155 0.000
4 Ge 0.155 0.345 0.000
5 Os 0.000 0.000 0.000
6 Os 0.500 0.500 0.000
7 Cu 0.141 0.641 0.500
8 Cu 0.641 0.859 0.500
9 Cu 0.859 0.359 0.500
10 Cu 0.359 0.141 0.500


Entry 4:
First-principles (GGA-PBE) data for crystalline Cu2GeOs2 at its relaxed geometry, as listed in the Alexandria database.

Values from the calculation:
For the energy relative to the lowest polymorph listed for this composition, the calculation gives 82.5 meV/atom. As for the total magnetic moment: 0.0 μB per formula unit. The value obtained for the formation energy is 0.74 eV per atom.

Cell lengths 3.559, 3.559, 6.769 Å; angles 74.76, 74.76, 90.00 degrees
Element x y z (fractional)
1 Ge 0.000 0.000 0.000
2 Os 0.750 0.250 0.500
3 Os 0.250 0.750 0.500
4 Cu 0.405 0.405 0.191
5 Cu 0.595 0.595 0.809


Entry 5:
First-principles (GGA-PBE) data for crystalline Cu3GeOs at its relaxed geometry, as listed in the Alexandria database.

Values from the calculation:
For the energy relative to the lowest polymorph listed for this composition, the calculation gives 62.8 meV/atom. As for the total magnetic moment: 0.0 μB per formula unit. The value obtained for the formation energy is 1.37 eV per atom.

Cell lengths 4.640, 4.640, 4.640 Å; angles 90.00, 90.00, 90.00 degrees
Element x y z (fractional)
1 Ge 0.500 0.500 0.500
2 Os 0.000 0.000 0.000
3 Cu 0.000 0.500 0.000
4 Cu 0.000 0.000 0.500
5 Cu 0.500 0.000 0.000


Entry 6:
First-principles (GGA-PBE) data for crystalline CuGe2Os at its relaxed geometry, as listed in the Alexandria database.

Values from the calculation:
For the energy relative to the lowest polymorph listed for this composition, the calculation gives 455.7 meV/atom. As for the total magnetic moment: 0.0 μB per formula unit. The value obtained for the formation energy is 0.65 eV per atom.

Cell lengths 5.610, 5.610, 6.732 Å; angles 65.38, 65.38, 90.00 degrees
Element x y z (fractional)
1 Ge 0.633 0.125 0.250
2 Ge 0.117 0.625 0.250
3 Ge 0.375 0.367 0.750
4 Ge 0.875 0.883 0.750
5 Os 0.000 0.000 0.000
6 Os 0.750 0.250 0.500
7 Cu 0.500 0.500 0.000
8 Cu 0.250 0.750 0.500


Look up the total magnetic moment of the fifth one. 0.0 μB per formula unit